Entry 1:
GaRhO2 at its PBEsol-relaxed geometry, computed with meta-GGA SCAN.

Properties
E (eV per atom): -16.97
DOS at the Fermi energy (states/eV/atom): 0.55
Total magnetization (μB per cell): 0.41
Volume (Å³ per cell): 43.5

```
GaRhO2
1.0
1.433 0.827 6.114
-1.433 0.827 6.114
0.000 -1.655 6.114
Ga Rh O
1 1 2
Cartesian
0.000 0.000 0.000
0.000 0.000 9.171
0.000 0.000 7.164
0.000 0.000 11.178
```

=====

Entry 2:
GaRhO3 at its PBEsol-relaxed geometry, computed with meta-GGA SCAN.

Properties
E (eV per atom): -14.27
DOS at the Fermi energy (states/eV/atom): 0.37
Total magnetization (μB per cell): 4.00
Volume (Å³ per cell): 54.3

```
GaRhO3
1.0
3.788 0.000 0.000
0.000 3.788 0.000
0.000 0.000 3.788
Ga Rh O
1 1 3
Cartesian
0.000 0.000 0.000
1.894 1.894 1.894
0.000 0.000 1.894
0.000 1.894 0.000
1.894 0.000 0.000
```

=====

Entry 3:
GaRuO3 at its PBEsol-relaxed geometry, computed with meta-GGA SCAN.

Properties
E (eV per atom): -14.55
DOS at the Fermi energy (states/eV/atom): 0.08
Total magnetization (μB per cell): 5.00
Volume (Å³ per cell): 54.3

```
GaRuO3
1.0
3.786 0.000 0.000
0.000 3.786 0.000
0.000 0.000 3.786
Ga Ru O
1 1 3
Cartesian
0.000 0.000 0.000
1.893 1.893 1.893
0.000 0.000 1.893
0.000 1.893 0.000
1.893 0.000 0.000
```

=====

Entry 4:
GaRuO2 at its PBEsol-relaxed geometry, computed with meta-GGA SCAN.

Properties
E (eV per atom): -17.15
DOS at the Fermi energy (states/eV/atom): 0.29
Total magnetization (μB per cell): 1.39
Volume (Å³ per cell): 43.2

```
GaRuO2
1.0
1.423 0.821 6.168
-1.423 0.821 6.168
0.000 -1.643 6.168
Ga Ru O
1 1 2
Cartesian
0.000 0.000 0.000
0.000 0.000 9.251
0.000 0.000 7.232
0.000 0.000 11.271
```

=====

Entry 5:
SrGaRuO2 at its PBEsol-relaxed geometry, computed with meta-GGA SCAN.

Properties
E (eV per atom): -17.52
DOS at the Fermi energy (states/eV/atom): 0.66
Total magnetization (μB per cell): 1.82
Volume (Å³ per cell): 77.0

```
SrGaRuO2
1.0
4.057 0.000 0.000
0.000 4.057 0.000
0.000 0.000 4.678
Sr Ga Ru O
1 1 1 2
Cartesian
0.000 0.000 0.000
2.028 2.028 2.339
2.028 2.028 0.000
0.000 2.028 2.339
2.028 0.000 2.339
```

=====

Entry 6:
GaS2O at its PBEsol-relaxed geometry, computed with meta-GGA SCAN.

Properties
E (eV per atom): -9.60
DOS at the Fermi energy (states/eV/atom): 0.55
Total magnetization (μB per cell): 0.00
Volume (Å³ per cell): 54.3

```
GaS2O
1.0
1.379 0.796 8.236
-1.379 0.796 8.236
0.000 -1.593 8.236
Ga S O
1 2 1
Cartesian
0.000 0.000 0.000
0.000 0.000 2.509
0.000 0.000 22.198
0.000 0.000 12.354
```

=====

Entry 7:
GaSO2 at its PBEsol-relaxed geometry, computed with meta-GGA SCAN.

Properties
E (eV per atom): -10.66
DOS at the Fermi energy (states/eV/atom): 0.30
Total magnetization (μB per cell): 0.00
Volume (Å³ per cell): 46.2

```
GaSO2
1.0
1.496 0.864 5.955
-1.496 0.864 5.955
0.000 -1.728 5.955
Ga S O
1 1 2
Cartesian
0.000 0.000 0.000
0.000 0.000 8.933
0.000 0.000 6.967
0.000 0.000 10.899
```

=====

Entry 8:
GaSb3O at its PBEsol-relaxed geometry, computed with meta-GGA SCAN.

Properties
E (eV per atom): -25.85
DOS at the Fermi energy (states/eV/atom): 0.77
Total magnetization (μB per cell): 1.55
Volume (Å³ per cell): 139.2

```
GaSb3O
1.0
5.183 0.000 0.000
0.000 5.183 0.000
0.000 0.000 5.183
Ga Sb O
1 3 1
Cartesian
0.000 0.000 0.000
0.000 0.000 2.591
0.000 2.591 0.000
2.591 0.000 0.000
2.591 2.591 2.591
```

=====

Entry 9:
Ga3SbO at its PBEsol-relaxed geometry, computed with meta-GGA SCAN.

Properties
E (eV per atom): -17.48
DOS at the Fermi energy (states/eV/atom): 0.53
Total magnetization (μB per cell): 0.00
Volume (Å³ per cell): 148.1

```
Ga3SbO
1.0
5.291 0.000 0.000
0.000 5.291 0.000
0.000 0.000 5.291
Ga Sb O
3 1 1
Cartesian
0.000 0.000 2.645
0.000 2.645 0.000
2.645 0.000 0.000
0.000 0.000 0.000
2.645 2.645 2.645
```

=====

Entry 10:
GaSbO4 at its PBEsol-relaxed geometry, computed with meta-GGA SCAN.

Properties
E (eV per atom): -14.87
DOS at the Fermi energy (states/eV/atom): 0.00
Total magnetization (μB per cell): 0.00
Volume (Å³ per cell): 65.3

```
GaSbO4
1.0
3.198 -3.319 0.000
3.198 3.319 0.000
0.000 0.000 3.077
Ga Sb O
1 1 4
Cartesian
0.000 0.000 0.000
3.198 0.000 1.539
1.229 0.000 1.539
3.198 1.296 0.000
3.198 -1.296 0.000
5.167 0.000 1.539
```

=====

Entry 11:
GaSbO2 at its PBEsol-relaxed geometry, computed with meta-GGA SCAN.

Properties
E (eV per atom): -16.77
DOS at the Fermi energy (states/eV/atom): 0.29
Total magnetization (μB per cell): 0.00
Volume (Å³ per cell): 51.6

```
GaSbO2
1.0
0.000 2.954 2.954
2.954 0.000 2.954
2.954 2.954 0.000
Ga Sb O
1 1 2
Cartesian
0.000 0.000 0.000
2.954 2.954 2.954
1.477 1.477 1.477
4.431 4.431 4.431
```

=====

Entry 12:
ScGaO2 at its PBEsol-relaxed geometry, computed with meta-GGA SCAN.

Properties
E (eV per atom): -13.03
DOS at the Fermi energy (states/eV/atom): 0.00
Total magnetization (μB per cell): 0.00
Volume (Å³ per cell): 132.3

```
ScGaO2
1.0
-2.744 2.744 4.390
2.744 -2.744 4.390
2.744 2.744 -4.390
Sc Ga O
2 2 4
Cartesian
0.000 0.000 0.000
0.000 2.744 2.195
2.744 0.000 2.195
0.000 0.000 4.390
1.372 0.908 -1.098
1.837 -1.372 5.488
1.372 1.837 3.293
0.908 4.116 1.098
```

=====

Values of raw formation energy, in order: -1329, -512, -578, -1242, -341, 854, -1048, 1020, 1022, -1782, -248, -2266, all in meV per atom.